The following is a DFT calculation (SCAN) of a crystal of La2TeO6 relaxed with PBEsol.

```
La2TeO6
1.0
5.500 0.000 0.000
0.000 9.429 0.000
0.000 0.000 10.339
La Te O
8 4 24
Cartesian
0.145 0.981 4.727 La
0.165 2.055 8.890 La
2.585 7.374 3.720 La
2.605 8.448 9.896 La
2.895 3.734 5.613 La
2.915 2.659 1.450 La
5.335 6.770 6.619 La
5.355 5.696 0.443 La
0.223 4.676 3.713 Te
2.527 4.753 8.883 Te
2.974 0.038 6.626 Te
5.277 9.391 1.457 Te
0.369 8.031 0.206 O
0.932 8.922 2.916 O
0.970 5.998 2.534 O
1.087 6.015 8.527 O
1.209 1.049 0.654 O
1.363 5.530 5.079 O
1.387 3.900 10.249 O
1.542 8.380 5.824 O
1.663 3.414 3.357 O
1.780 3.431 7.704 O
1.818 0.508 8.086 O
2.381 1.398 5.375 O
3.120 6.113 10.134 O
3.682 5.222 7.423 O
3.721 8.146 7.805 O
3.838 8.129 1.812 O
3.959 3.666 9.685 O
4.113 8.614 5.260 O
4.137 0.815 0.090 O
4.292 5.764 4.516 O
4.413 1.300 6.982 O
4.530 1.284 2.636 O
4.568 4.207 2.254 O
5.131 3.316 4.964 O
```

Output
Density of states at the Fermi level in states/eV/atom: 0.00
Calculated density in g/cm³: 6.2
Uncorrected formation energy in kJ/mol of atoms: -269.0

***

The following is a DFT calculation (SCAN) of a crystal of La2TeO relaxed with PBEsol.

```
La2TeO
1.0
0.000 3.602 3.602
3.602 0.000 3.602
3.602 3.602 0.000
La Te O
2 1 1
Cartesian
1.801 1.801 1.801 La
5.403 5.403 5.403 La
0.000 0.000 0.000 Te
3.602 3.602 3.602 O
```

Output
Density of states at the Fermi level in states/eV/atom: 0.45
Calculated density in g/cm³: 7.5
Uncorrected formation energy in kJ/mol of atoms: -149.1

***

The following is a DFT calculation (SCAN) of a crystal of La4Ti5Te3O24 relaxed with PBEsol.

```
La4Ti5Te3O24
1.0
7.120 0.000 0.000
-0.180 7.298 0.000
-3.470 -3.176 9.108
La Ti Te O
4 5 3 24
Cartesian
0.000 0.000 0.000 La
-1.771 2.002 4.560 La
1.233 -1.090 4.142 La
-0.452 0.952 8.633 La
-0.380 3.941 1.081 Ti
-1.944 -1.639 5.789 Ti
-0.269 4.430 7.596 Ti
3.330 0.541 1.350 Ti
1.468 2.628 6.069 Ti
1.541 2.433 2.952 Te
4.822 5.751 2.716 Te
3.369 0.452 7.159 Te
-3.203 1.739 8.558 O
-1.400 -0.432 4.172 O
-0.374 2.757 2.644 O
-0.185 5.566 2.064 O
-2.195 4.619 7.320 O
-1.866 0.235 6.765 O
1.387 0.887 1.771 O
-0.360 2.679 6.474 O
-0.040 -1.739 6.083 O
1.728 3.657 1.507 O
0.964 1.314 4.439 O
2.705 6.509 0.085 O
1.632 3.736 4.411 O
0.051 -1.524 8.940 O
3.150 -0.816 2.858 O
1.490 0.914 7.148 O
3.407 1.969 2.902 O
1.644 3.877 7.425 O
4.989 4.163 0.871 O
3.214 -0.946 5.844 O
3.355 1.956 5.914 O
5.166 0.102 1.528 O
4.778 4.366 4.535 O
3.336 -0.710 8.696 O
```

Output
Density of states at the Fermi level in states/eV/atom: 0.00
Calculated density in g/cm³: 5.5
Uncorrected formation energy in kJ/mol of atoms: -276.6

***

The following is a DFT calculation (SCAN) of a crystal of LaTiTeO6 relaxed with PBEsol.

```
LaTiTeO6
1.0
5.290 0.000 0.000
-2.645 4.581 0.000
0.000 0.000 5.108
La Ti Te O
1 1 1 6
Cartesian
0.000 0.000 0.000 La
2.645 1.527 2.554 Ti
0.000 3.054 2.554 Te
1.964 0.029 3.656 O
1.007 1.686 1.453 O
3.326 0.029 1.453 O
1.688 2.866 3.656 O
4.283 1.686 3.656 O
3.601 2.866 1.453 O
```

Output
Density of states at the Fermi level in states/eV/atom: 0.54
Calculated density in g/cm³: 5.5
Uncorrected formation energy in kJ/mol of atoms: -248.9

***

The following is a DFT calculation (SCAN) of a crystal of La2Te6WO18 relaxed with PBEsol.

```
La2Te6WO18
1.0
6.787 0.000 0.000
-3.393 5.878 0.000
0.000 0.000 19.984
La Te W O
4 12 2 36
Cartesian
0.000 0.000 0.000 La
0.000 0.000 9.992 La
0.000 3.918 0.243 La
0.000 3.918 10.235 La
-0.942 1.975 3.447 Te
-2.154 4.074 13.439 Te
-0.897 1.942 16.779 Te
-2.160 4.130 6.787 Te
0.897 1.942 6.787 Te
-1.264 5.683 16.779 Te
0.942 1.975 13.439 Te
-1.212 5.706 3.447 Te
2.154 4.074 3.447 Te
1.212 5.706 13.439 Te
2.160 4.130 16.779 Te
1.264 5.683 6.787 Te
3.393 1.959 0.711 W
3.393 1.959 10.703 W
0.000 0.000 6.964 O
0.000 0.000 16.956 O
-0.679 1.751 1.591 O
-2.217 4.414 11.583 O
-0.860 2.508 6.273 O
-1.651 3.878 16.265 O
-0.572 2.127 18.608 O
-1.838 4.319 8.616 O
1.644 0.023 13.946 O
0.842 1.413 3.954 O
0.679 1.751 11.583 O
-1.538 5.590 1.591 O
0.572 2.127 8.616 O
-1.266 5.310 18.608 O
0.000 3.918 3.096 O
0.000 3.918 13.089 O
0.860 2.508 16.265 O
-0.791 5.368 6.273 O
2.582 0.487 10.079 O
1.713 1.993 0.087 O
1.651 3.878 6.273 O
0.791 5.368 16.265 O
1.838 4.319 18.608 O
1.266 5.310 8.616 O
4.205 0.487 0.087 O
2.524 3.398 10.079 O
3.393 1.959 2.533 O
3.393 1.959 12.526 O
2.217 4.414 1.591 O
1.538 5.590 11.583 O
5.142 0.023 3.954 O
2.591 4.442 13.946 O
5.074 1.993 10.079 O
4.263 3.398 0.087 O
5.945 1.413 13.946 O
4.196 4.442 3.954 O
```

Output
Density of states at the Fermi level in states/eV/atom: 0.00
Calculated density in g/cm³: 6.3
Uncorrected formation energy in kJ/mol of atoms: -179.2

***

The following is a DFT calculation (SCAN) of a crystal of LaTiO3 relaxed with PBEsol.

```
LaTiO3
1.0
3.910 0.000 0.000
0.000 3.910 0.000
0.000 0.000 3.910
La Ti O
1 1 3
Cartesian
0.000 0.000 0.000 La
1.955 1.955 1.955 Ti
0.000 1.955 1.955 O
1.955 0.000 1.955 O
1.955 1.955 0.000 O
```

Output
Density of states at the Fermi level in states/eV/atom: 0.33
Calculated density in g/cm³: 6.5
Uncorrected formation energy in kJ/mol of atoms: -338.0

***

The following is a DFT calculation (SCAN) of a crystal of La2Ti2O7 relaxed with PBEsol.

```
La2Ti2O7
1.0
1.947 -12.724 0.000
1.947 12.724 0.000
0.000 0.000 5.531
La Ti O
4 4 14
Cartesian
1.947 11.382 2.765 La
1.947 7.551 0.454 La
1.947 -7.551 3.219 La
1.947 -11.382 0.000 La
1.947 4.138 0.213 Ti
1.947 1.529 2.786 Ti
1.947 -1.529 0.020 Ti
1.947 -4.138 2.978 Ti
1.947 11.472 5.395 O
1.947 8.824 2.745 O
1.947 5.598 4.551 O
1.947 5.167 1.692 O
1.947 2.982 3.836 O
1.947 2.341 1.013 O
1.947 0.278 4.260 O
1.947 -0.278 1.495 O
1.947 -2.341 3.778 O
1.947 -2.982 1.071 O
1.947 -5.167 4.458 O
1.947 -5.598 1.786 O
1.947 -8.824 5.510 O
1.947 -11.472 2.630 O
```

Output
Density of states at the Fermi level in states/eV/atom: 0.00
Calculated density in g/cm³: 5.9
Uncorrected formation energy in kJ/mol of atoms: -353.4

***

The following is a DFT calculation (SCAN) of a crystal of LaTiO3 relaxed with PBEsol.

```
LaTiO3
1.0
5.588 0.000 0.000
0.000 7.833 0.000
0.000 0.000 5.511
La Ti O
4 4 12
Cartesian
0.238 1.958 0.034 La
2.556 5.875 2.790 La
3.032 1.958 2.721 La
5.350 5.875 5.477 La
0.000 0.000 2.756 Ti
0.000 3.916 2.756 Ti
2.794 0.000 0.000 Ti
2.794 3.916 0.000 Ti
0.059 5.875 2.403 O
1.183 4.187 4.353 O
1.183 7.562 4.353 O
1.611 0.271 1.598 O
1.611 3.645 1.598 O
2.735 1.958 5.158 O
2.853 5.875 0.353 O
3.977 4.187 3.914 O
3.977 7.562 3.914 O
4.405 0.271 1.158 O
4.405 3.645 1.158 O
5.530 1.958 3.109 O
```

Output
Density of states at the Fermi level in states/eV/atom: 0.40
Calculated density in g/cm³: 6.5
Uncorrected formation energy in kJ/mol of atoms: -341.6

***

The following is a DFT calculation (SCAN) of a crystal of La4Ti3O12 relaxed with PBEsol.

```
La4Ti3O12
1.0
2.768 1.598 8.641
-2.768 1.598 8.641
0.000 -3.196 8.641
La Ti O
4 3 12
Cartesian
0.000 0.000 3.476 La
0.000 0.000 7.450 La
0.000 0.000 18.473 La
0.000 0.000 22.447 La
0.000 0.000 0.000 Ti
0.000 0.000 11.010 Ti
0.000 0.000 14.913 Ti
-1.230 -1.149 11.820 O
-1.551 0.509 9.716 O
0.334 -1.598 9.716 O
-1.216 -1.088 16.207 O
-1.610 0.491 14.103 O
0.380 -1.639 14.103 O
-0.380 1.639 11.820 O
1.610 -0.491 11.820 O
1.216 1.088 9.716 O
-0.334 1.598 16.207 O
1.551 -0.509 16.207 O
1.230 1.149 14.103 O
```

Output
Density of states at the Fermi level in states/eV/atom: 0.00
ΔE to the lowest computed polymorph in meV per atom: 0.0
Calculated density in g/cm³: 6.5
Uncorrected formation energy in kJ/mol of atoms: -355.3

***

The following is a DFT calculation (SCAN) of a crystal of LaTi2O6 relaxed with PBEsol.

```
LaTi2O6
1.0
3.807 0.000 0.000
0.000 3.807 0.000
0.000 0.000 7.922
La Ti O
1 2 6
Cartesian
0.000 0.000 0.000 La
1.903 1.903 2.146 Ti
1.903 1.903 5.776 Ti
0.000 1.903 1.755 O
0.000 1.903 6.167 O
1.903 0.000 1.755 O
1.903 0.000 6.167 O
1.903 1.903 0.000 O
1.903 1.903 3.961 O
```

Output
Density of states at the Fermi level in states/eV/atom: 0.46
Calculated density in g/cm³: 4.8
Uncorrected formation energy in kJ/mol of atoms: -310.1

***

The following is a DFT calculation (SCAN) of a crystal of La2TiO5 relaxed with PBEsol.

```
La2TiO5
1.0
10.955 0.000 0.000
0.000 3.897 0.000
0.000 0.000 11.350
La Ti O
8 4 20
Cartesian
1.056 0.974 2.458 La
1.489 0.974 6.369 La
3.988 2.923 0.694 La
4.421 2.923 8.133 La
6.534 0.974 3.216 La
6.967 0.974 10.656 La
9.465 2.923 4.981 La
9.898 2.923 8.891 La
2.119 0.974 9.905 Ti
3.358 2.923 4.230 Ti
7.596 0.974 7.120 Ti
8.836 2.923 1.445 Ti
0.096 2.923 6.826 O
0.405 0.974 9.411 O
2.400 2.923 2.597 O
2.478 0.974 0.403 O
2.630 2.923 9.946 O
2.848 0.974 4.271 O
3.000 2.923 6.078 O
3.077 0.974 8.271 O
5.072 2.923 3.736 O
5.382 0.974 1.151 O
5.573 2.923 10.199 O
5.883 0.974 7.614 O
7.878 2.923 3.078 O
7.955 0.974 5.272 O
8.107 2.923 7.078 O
8.325 0.974 1.403 O
8.477 2.923 10.947 O
8.554 0.974 8.753 O
10.549 2.923 1.939 O
10.859 0.974 4.524 O
```

Output
Density of states at the Fermi level in states/eV/atom: 0.00
Calculated density in g/cm³: 5.6
Uncorrected formation energy in kJ/mol of atoms: -358.8

***

The following is a DFT calculation (SCAN) of a crystal of La2Ti2O7 relaxed with PBEsol.

```
La2Ti2O7
1.0
0.000 5.185 5.185
5.185 0.000 5.185
5.185 5.185 0.000
La Ti O
4 4 14
Cartesian
0.000 0.000 0.000 La
2.593 2.593 0.000 La
2.593 0.000 2.593 La
0.000 2.593 2.593 La
5.185 2.593 2.593 Ti
2.593 5.185 2.593 Ti
2.593 2.593 5.185 Ti
5.185 5.185 5.185 Ti
1.296 1.296 1.296 O
3.889 3.889 1.833 O
3.889 1.833 3.889 O
5.945 3.889 3.889 O
6.482 6.482 4.426 O
6.482 4.426 6.482 O
8.538 6.482 6.482 O
1.833 3.889 3.889 O
3.889 5.945 3.889 O
3.889 3.889 5.945 O
4.426 6.482 6.482 O
6.482 8.538 6.482 O
6.482 6.482 8.538 O
9.074 9.074 9.074 O
```

Output
Density of states at the Fermi level in states/eV/atom: 0.00
Calculated density in g/cm³: 5.8
Uncorrected formation energy in kJ/mol of atoms: -348.4

***

Question: What is the formula in the tenth record?
Answer: LaTi2O6